1.
Material: DyAlZnAg
Method: DFT, PBE
State: relaxed

Lattice parameters (Å, degrees): 4.766 4.766 4.766 60.00 60.00 60.00
Atoms (fractional coordinates):
Dy: 0.000 0.000 0.000
Al: 0.500 0.500 0.500
Zn: 0.250 0.250 0.250
Ag: 0.750 0.750 0.750

=====

2.
Material: DyAlZn6Ag
Method: DFT, PBE
State: relaxed

Lattice parameters (Å, degrees): 8.933 8.933 8.933 145.87 111.49 78.81
Atoms (fractional coordinates):
Dy: 0.422 0.172 0.250
Dy: 0.578 0.828 0.750
Al: 0.000 0.500 0.500
Al: 0.500 0.500 0.000
Zn: 0.142 0.404 0.232
Zn: 0.142 0.909 0.737
Zn: 0.197 0.947 0.250
Zn: 0.321 0.571 0.750
Zn: 0.328 0.091 0.732
Zn: 0.328 0.596 0.237
Zn: 0.672 0.404 0.763
Zn: 0.672 0.909 0.268
Zn: 0.679 0.429 0.250
Zn: 0.803 0.053 0.750
Zn: 0.858 0.091 0.263
Zn: 0.858 0.596 0.768
Ag: 0.000 0.000 0.500
Ag: 0.000 0.500 0.000

=====

3.
Material: DyAlZn3Ag
Method: DFT, PBE
State: relaxed

Lattice parameters (Å, degrees): 7.128 7.128 5.868 90.00 90.00 129.07
Atoms (fractional coordinates):
Dy: 0.196 0.804 0.750
Dy: 0.804 0.196 0.250
Al: 0.421 0.579 0.750
Al: 0.579 0.421 0.250
Zn: 0.200 0.200 0.000
Zn: 0.200 0.200 0.500
Zn: 0.371 0.629 0.250
Zn: 0.629 0.371 0.750
Zn: 0.800 0.800 0.000
Zn: 0.800 0.800 0.500
Ag: 0.162 0.838 0.250
Ag: 0.838 0.162 0.750

=====

4.
Material: Dy4AlZnAg2
Method: DFT, PBE
State: relaxed

Lattice parameters (Å, degrees): 8.865 8.865 8.865 33.61 33.61 33.61
Atoms (fractional coordinates):
Dy: 0.123 0.123 0.123
Dy: 0.373 0.373 0.373
Dy: 0.627 0.627 0.627
Dy: 0.877 0.877 0.877
Al: 0.500 0.500 0.500
Zn: 0.000 0.000 0.000
Ag: 0.248 0.248 0.248
Ag: 0.752 0.752 0.752

=====

Energy of formation from the pure elements readings, ordered: -0.325, 0.167, -0.062, -0.329 eV per atom
Total DFT energy (no corrections) readings, ordered: -13.77, -17.34, -15.39, -31.76 eV/f.u.
Fermi-level density of states readings, ordered: 1.9, 7.2, 3.3, 6.2 states/eV/cell